Material: Ca6In2Ag
Method: DFT, PBE
State: relaxed

```
data_Ca6In2Ag
_chemical_formula_sum 'Ca6 In2 Ag1'
_cell_length_a 5.584
_cell_length_b 5.586
_cell_length_c 10.427
_cell_angle_alpha 90.02
_cell_angle_beta 90.00
_cell_angle_gamma 119.99
_symmetry_space_group_name_H-M 'P 1'
_symmetry_Int_Tables_number 1
loop_
_symmetry_equiv_pos_as_xyz
'x,y,z'
loop_
_atom_site_label
_atom_site_type_symbol
_atom_site_fract_x
_atom_site_fract_y
_atom_site_fract_z
Ca1 Ca 0.333 0.667 0.933
Ca2 Ca 0.667 0.333 0.067
Ca3 Ca 0.000 0.999 0.214
Ca4 Ca 0.667 0.333 0.418
Ca5 Ca 0.000 0.001 0.786
Ca6 Ca 0.333 0.667 0.582
In1 In 0.667 0.334 0.753
In2 In 0.333 0.666 0.247
Ag1 Ag 0.000 0.000 0.500
```

Calculated values
**V**: 31.3 Å³ per atom
**Fermi-level density of states**: 3.968 states/eV/cell
**Symmetry**: P-3m1
**Total energy**: -2.563 eV per atom